(1)
VASP calculation (PBE-GGA) on a relaxed structure of CaTlSCl. Values from VASP.

Output
- M_tot (μB/f.u.) = 0.0
- E_form (uncorrected) (kJ/mol of formula units) = -609.1
- space group = No. 160
- E (eV/cell) = -16.66

```
&SYSTEM
  ibrav = 0, nat = 4, ntyp = 4
/
ATOMIC_SPECIES
Ca 40.08 Ca.upf
Tl 204.38 Tl.upf
S 32.06 S.upf
Cl 35.45 Cl.upf
CELL_PARAMETERS angstrom
-1.9089 2.5765 2.5720
2.1431 -3.1767 1.4878
7.1311 3.9119 -1.9134
ATOMIC_POSITIONS angstrom
Ca 2.5122 -2.3514 1.5567
Tl 4.1801 3.4708 0.2409
S 7.0536 2.6157 -0.0515
Cl 1.0675 2.3572 2.3364
```

(2)
VASP calculation (PBE-GGA) on a relaxed structure of SbSe3S. Values from VASP.

Output
- M_tot (μB/f.u.) = 0.0
- E_form (uncorrected) (kJ/mol of formula units) = 218.7
- excess energy over the best structure of this formula in the dataset (eV/f.u.) = 0.00
- space group = No. 221
- E (eV/cell) = -16.44

```
&SYSTEM
  ibrav = 0, nat = 5, ntyp = 3
/
ATOMIC_SPECIES
Sb 121.76 Sb.upf
S 32.06 S.upf
Se 78.96 Se.upf
CELL_PARAMETERS angstrom
-2.5743 3.6195 2.0361
-0.4293 -2.6146 4.1052
4.1306 1.9840 1.6956
ATOMIC_POSITIONS angstrom
Sb 0.5635 1.4944 3.9184
S 0.0000 0.0000 0.0000
Se -0.2147 -1.3073 2.0526
Se 2.0653 0.9920 0.8478
Se -1.2872 1.8097 1.0180
```

(3)
VASP calculation (PBE-GGA) on a relaxed structure of Pr2Nd8Sc3. Values from VASP.

Output
- M_tot (μB/f.u.) = 0.0
- space group = No. 12
- E (eV/cell) = -64.39

```
&SYSTEM
  ibrav = 0, nat = 13, ntyp = 3
/
ATOMIC_SPECIES
Pr 140.91 Pr.upf
Nd 144.24 Nd.upf
Sc 44.96 Sc.upf
CELL_PARAMETERS angstrom
-0.0604 -6.0227 0.3384
5.9541 -3.0126 -5.8469
6.3756 -2.3683 5.6970
ATOMIC_POSITIONS angstrom
Pr 3.8660 -3.7231 0.0666
Pr 8.4033 -7.6805 0.1218
Nd 7.1691 -4.5203 -0.0095
Nd 5.1002 -6.8833 0.1980
Nd 1.6149 -6.0799 0.2804
Nd 10.6544 -5.3237 -0.0919
Nd 4.1188 -5.9421 -2.8965
Nd 4.3426 -5.6000 3.2318
Nd 7.9268 -5.8035 -3.0433
Nd 8.1505 -5.4615 3.0850
Sc -0.0302 -3.0114 0.1692
Sc 6.2649 -2.5375 2.6656
Sc 6.0648 -2.8434 -2.8155
```